## K3Ho2HfSe6 (PBE)

Data for a relaxed K3Ho2HfSe6 crystal.

Cell lengths 7.0778, 7.0778, 8.0606 Å; angles 98.43, 98.43, 120.01 degrees
With the nearest neighbours (Å) after each atom.
Element x y z (fractional)
K1 0.5000 0.5000 0.5000  6 Se 3.25-3.36
K2 0.1704 0.8296 0.5000  6 Se 3.25-3.33
K3 0.8296 0.1704 0.5000  6 Se 3.25-3.33
Se1 0.2503 0.2503 0.7959  1 Hf 2.75, 2 Ho 2.88
Se2 0.3866 0.0676 0.2031  1 Hf 2.75, 2 Ho 2.88
Se3 0.0676 0.3866 0.2031  1 Hf 2.75, 2 Ho 2.88
Se4 0.6134 0.9324 0.7969  1 Hf 2.75, 2 Ho 2.88
Se5 0.7497 0.7497 0.2041  1 Hf 2.75, 2 Ho 2.88
Se6 0.9324 0.6134 0.7969  1 Hf 2.75, 2 Ho 2.88
Ho1 0.6662 0.3338 0.0000  6 Se 2.88
Ho2 0.3338 0.6662 0.0000  6 Se 2.88
Hf1 0.0000 0.0000 0.0000  6 Se 2.75

Its uncorrected formation energy is -1.58 eV/atom. As for the space group: C2/m. The calculated total energy comes out at -5.187 eV per atom.